The following is a PBE calculation of a geometry-optimized Sm3TlTe structure, from Alexandria via LeMat-Bulk.

Summary:
Electronic total energy = -4.59 eV/atom
Energy above the lowest structure with this stoichiometry = 3.3 kJ per mole of atoms
Formation energy (no corrections) = -0.66 eV per atom

abc: 4.100 8.629 9.145
angles: 107.12 90.00 90.00
Fractional positions:
Sm 0.750 0.649 0.427
Sm 0.250 0.351 0.573
Sm 0.750 0.322 0.947
Sm 0.250 0.901 0.780
Sm 0.250 0.678 0.053
Sm 0.750 0.099 0.220
Tl 0.250 0.919 0.381
Tl 0.750 0.081 0.619
Te 0.250 0.390 0.230
Te 0.750 0.610 0.770